(1)
This record from Alexandria describes an optimized crystal structure of Al3Ag5. The functional is GGA-PBEsol.

Values from the calculation:
raw total energy	-3.683	eV/atom
space-group type	No. 139
relative energy among the computed polymorphs	14.0	meV/atom
energy of formation	-0.08	eV/atom

```
8
Lattice="-1.1621 3.2453 -4.4265 -4.2880 -1.9610 3.0405 2.4823 2.3699 4.4383" Properties=species:S:1:pos:R:3 pbc="T T T"
Al 0.6601 2.8076 0.0059
Al -2.7250 0.6422 -0.6930
Al -0.9028 0.2044 3.7394
Ag 0.0000 0.0000 0.0000
Ag -1.4838 1.8271 1.5261
Ag -2.1440 -0.9805 1.5203
Ag 1.2412 1.1849 2.2191
Ag -0.5810 1.6227 -2.2133
```

(2)
This record from Alexandria describes an optimized crystal structure of Al4Ag5. The functional is GGA-PBEsol.

Values from the calculation:
raw total energy	-3.676	eV/atom
space-group type	No. 193
relative energy among the computed polymorphs	66.2	meV/atom
energy of formation	-0.02	eV/atom

```
18
Lattice="5.5890 0.0000 0.0000 0.0000 7.7615 0.0000 0.0000 -3.8808 6.7217" Properties=species:S:1:pos:R:3 pbc="T T T"
Ag 4.1918 -2.6520 4.5933
Ag 4.1918 5.3039 0.0000
Ag 4.1918 1.2288 2.1284
Ag 1.3973 -1.2288 2.1284
Ag 1.3973 2.4576 0.0000
Ag 1.3973 2.6520 4.5933
Ag 0.0000 0.0000 4.4811
Ag 2.7945 3.8808 2.2406
Ag 0.0000 3.8808 2.2406
Ag 2.7945 0.0000 4.4811
Al 0.0000 0.0000 0.0000
Al 2.7945 0.0000 0.0000
Al 4.1918 -1.3542 2.3455
Al 4.1918 2.7084 0.0000
Al 4.1918 2.5266 4.3762
Al 1.3973 -2.5266 4.3762
Al 1.3973 5.0532 0.0000
Al 1.3973 1.3542 2.3455
```

(3)
This record from Alexandria describes an optimized crystal structure of AlAg. The functional is GGA-PBEsol.

Values from the calculation:
raw total energy	-3.756	eV/atom
space-group type	No. 198
energy of formation	-0.05	eV/atom

```
8
Lattice="-4.8506 0.9610 1.1218 -0.0206 -3.8946 3.2469 1.4770 3.1015 3.7296" Properties=species:S:1:pos:R:3 pbc="T T T"
Al -1.0713 -1.2586 5.6086
Al -0.3401 0.0168 0.8115
Al -1.5906 1.8105 5.3273
Al -3.7864 -0.2329 4.4493
Ag 0.8369 0.5555 5.4164
Ag -1.3604 0.0673 3.2458
Ag -3.4864 2.3377 3.5674
Ag -2.7786 -2.6247 3.9670
```

(4)
This record from Alexandria describes an optimized crystal structure of Al3Ag. The functional is GGA-PBEsol.

Values from the calculation:
raw total energy	-3.911	eV/atom
space-group type	No. 13
energy of formation	-0.01	eV/atom

```
8
Lattice="4.7938 -0.0241 0.0000 -1.7152 4.7515 0.0000 0.0000 0.0000 5.7444" Properties=species:S:1:pos:R:3 pbc="T T T"
Al 3.5953 -0.0181 0.7604
Al 1.1984 -0.0060 4.9840
Al 0.3409 2.3697 3.5905
Al 2.7378 2.3577 2.1539
Al 0.3409 2.3697 0.6994
Al 2.7378 2.3577 5.0449
Ag 3.5953 -0.0181 3.6649
Ag 1.1984 -0.0060 2.0794
```

(5)
This record from Alexandria describes an optimized crystal structure of Al5Ag3. The functional is GGA-PBEsol.

Values from the calculation:
raw total energy	-3.844	eV/atom
space-group type	No. 42
relative energy among the computed polymorphs	13.2	meV/atom
energy of formation	-0.05	eV/atom

```
8
Lattice="-0.0504 -4.2871 -2.3476 0.8963 -0.9006 4.7201 -6.0266 2.1259 -0.2114" Properties=species:S:1:pos:R:3 pbc="T T T"
Al -2.8007 -2.3754 -0.6910
Al -3.7932 -2.9460 1.9197
Al -1.4142 -0.1181 0.2460
Al -2.3273 -0.6821 2.8429
Al -4.2320 -0.3534 0.7362
Ag -5.1027 -0.9139 3.3257
Ag -1.0695 -2.7185 1.4458
Ag -5.5760 -2.6072 -0.2082
```

(6)
This record from Alexandria describes an optimized crystal structure of Al5Ag. The functional is GGA-PBEsol.

Values from the calculation:
raw total energy	-3.922	eV/atom
space-group type	No. 38
relative energy among the computed polymorphs	61.7	meV/atom
energy of formation	0.04	eV/atom

```
6
Lattice="2.8281 0.0000 0.0000 0.0000 4.7861 0.0000 -1.4141 0.0000 7.2836" Properties=species:S:1:pos:R:3 pbc="T T T"
Al 0.0000 0.0000 4.8437
Al 1.4141 0.0000 2.4191
Al 0.0000 2.3930 6.4953
Al 1.4141 2.3930 4.0493
Al 0.0000 2.3930 1.6409
Ag 1.4141 0.0000 7.2585
```

(7)
This record from Alexandria describes an optimized crystal structure of Al3Ag5. The functional is GGA-PBEsol.

Values from the calculation:
raw total energy	-3.650	eV/atom
space-group type	No. 99
relative energy among the computed polymorphs	46.7	meV/atom
energy of formation	-0.05	eV/atom

```
8
Lattice="-0.1141 0.7379 2.7856 2.1088 -1.8785 0.5840 10.6099 11.1292 -2.5137" Properties=species:S:1:pos:R:3 pbc="T T T"
Al 4.9838 3.6112 0.7403
Al 7.9385 8.3270 -1.8808
Al 10.2762 9.1627 -0.5135
Ag 10.5659 11.0830 -2.5033
Ag 2.3466 0.8450 1.3651
Ag 2.7400 2.8741 -0.6492
Ag 5.2296 5.4856 -1.2390
Ag 7.6537 6.4118 0.1078
```

(8)
This record from Alexandria describes an optimized crystal structure of Al5Ag3. The functional is GGA-PBEsol.

Values from the calculation:
raw total energy	-3.833	eV/atom
space-group type	No. 65
relative energy among the computed polymorphs	24.5	meV/atom
energy of formation	-0.03	eV/atom

```
8
Lattice="-2.6157 1.2270 0.5262 -3.0162 -4.7630 -3.8867 0.2802 -2.1832 6.4842" Properties=species:S:1:pos:R:3 pbc="T T T"
Al -2.3933 -1.4278 -0.3727
Al -2.9583 -4.2914 3.4964
Al -3.7721 -4.9282 0.9363
Al -1.3680 -3.4731 1.2988
Al -1.5796 -0.7910 2.1874
Ag -2.1750 -4.1047 -1.2402
Ag 0.0000 0.0000 0.0000
Ag -0.5610 -2.8415 3.8377
```

(9)
This record from Alexandria describes an optimized crystal structure of Al7Ag3. The functional is GGA-PBEsol.

Values from the calculation:
raw total energy	-3.893	eV/atom
space-group type	No. 2
relative energy among the computed polymorphs	0.0	meV/atom
energy of formation	-0.04	eV/atom

```
10
Lattice="4.8140 0.0381 -0.0214 -0.7823 4.9543 -0.0095 -1.4934 -2.6857 6.8083" Properties=species:S:1:pos:R:3 pbc="T T T"
Al 2.0277 3.0158 1.3267
Al 3.6451 0.7627 1.9968
Al -0.3606 3.4160 2.7220
Al 1.2692 1.1534 3.3887
Al 2.8990 -1.1092 4.0554
Al -1.1067 1.5441 4.7806
Al 0.5106 -0.7090 5.4507
Ag 1.3110 2.0410 6.0355
Ag -0.3911 2.4772 -0.0048
Ag 1.2274 0.2657 0.7419
```

(10)
This record from Alexandria describes an optimized crystal structure of AlAg. The functional is GGA-PBEsol.

Values from the calculation:
raw total energy	-3.736	eV/atom
space-group type	No. 164
energy of formation	-0.04	eV/atom

```
4
Lattice="2.9136 0.0000 0.0000 -1.4568 2.5232 0.0000 0.0000 0.0000 8.8425" Properties=species:S:1:pos:R:3 pbc="T T T"
Al 0.0000 1.6821 5.5167
Al 1.4568 0.8411 3.3258
Ag 0.0000 1.6821 1.1809
Ag 1.4568 0.8411 7.6616
```

(11)
This record from Alexandria describes an optimized crystal structure of AlAg. The functional is GGA-PBEsol.

Values from the calculation:
raw total energy	-3.729	eV/atom
space-group type	No. 129
energy of formation	-0.03	eV/atom

```
8
Lattice="2.8476 0.0000 0.0000 0.0000 2.8476 0.0000 0.0000 0.0000 16.0488" Properties=species:S:1:pos:R:3 pbc="T T T"
Al 1.4238 0.0000 5.0040
Al 0.0000 1.4238 7.0047
Al 1.4238 0.0000 9.0441
Al 0.0000 1.4238 11.0448
Ag 1.4238 0.0000 12.9315
Ag 0.0000 1.4238 15.0274
Ag 1.4238 0.0000 1.0214
Ag 0.0000 1.4238 3.1173
```

(12)
This record from Alexandria describes an optimized crystal structure of Al3Ag5. The functional is GGA-PBEsol.

Values from the calculation:
raw total energy	-3.688	eV/atom
space-group type	No. 119
relative energy among the computed polymorphs	9.0	meV/atom
energy of formation	-0.08	eV/atom

```
8
Lattice="-1.9730 -2.3772 2.4510 3.2323 -0.3882 2.2254 -2.9323 7.9176 2.1463" Properties=species:S:1:pos:R:3 pbc="T T T"
Al -1.1140 3.5657 5.7340
Al -0.5590 1.5865 1.0887
Al -2.1378 2.0789 3.4677
Ag -1.7071 4.8448 3.3247
Ag 1.6155 -0.1924 1.1139
Ag 0.0342 0.3074 3.4980
Ag 0.4648 3.0733 3.3549
Ag -0.6859 6.3391 5.5960
```